DFT (PBE) results for Cs2NaAgSe2 after structural relaxation.

abc: 6.9148 6.9279 9.6221
angles: 111.10 111.06 90.00
Closest atoms and distances in Å follow each position.
Atoms (fractional coordinates):
Cs 0.5742 0.8300 0.6600  5 Se 3.57-3.91, 2 Ag 3.71, 2 Na 3.75
Cs 0.4258 0.1700 0.3400  5 Se 3.57-3.91, 2 Ag 3.71, 2 Na 3.75
Cs 0.9142 0.6700 0.3400  5 Se 3.57-3.91, 2 Ag 3.71, 2 Na 3.75
Cs 0.0858 0.3300 0.6600  5 Se 3.57-3.91, 2 Ag 3.71, 2 Na 3.75
Ag 0.5000 0.2500 0.0000  4 Se 2.86
Ag 0.5000 0.7500 0.0000  4 Se 2.86
Se 0.1674 0.9058 0.8116  2 Ag 2.86, 2 Na 2.95
Se 0.6442 0.4058 0.8116  2 Ag 2.86, 2 Na 2.95
Se 0.8326 0.0942 0.1884  2 Ag 2.86, 2 Na 2.95
Se 0.3558 0.5942 0.1884  2 Ag 2.86, 2 Na 2.95
Na 0.0000 0.7500 0.0000  4 Se 2.95
Na 0.0000 0.2500 0.0000  4 Se 2.95

Formation energy from raw total energies (eV/atom): -0.876
Calculated density (g/cm³): 4.64
Crystal system: orthorhombic

=====

DFT (PBE) results for CsNaSiAg2 after structural relaxation.

abc: 5.0578 5.0578 5.6971
angles: 90.00 90.00 90.00
Closest atoms and distances in Å follow each position.
Atoms (fractional coordinates):
Si 0.0000 0.0000 0.0000  4 Ag 2.53
Ag 0.0000 0.5000 0.0000  2 Si 2.53
Ag 0.5000 0.0000 0.0000  2 Si 2.53
Cs 0.5000 0.5000 0.5000  4 Na 3.58, 8 Ag 3.81
Na 0.0000 0.0000 0.5000  2 Si 2.85

Formation energy from raw total energies (eV/atom): 0.059
Calculated density (g/cm³): 4.55
Crystal system: tetragonal

=====

DFT (PBE) results for CsNa2AgSn after structural relaxation.

abc: 6.0321 6.0321 5.4150
angles: 90.00 90.00 90.00
Closest atoms and distances in Å follow each position.
Atoms (fractional coordinates):
Ag 0.0000 0.0000 0.5000  2 Sn 2.71
Sn 0.0000 0.0000 0.0000  2 Ag 2.71, 4 Na 3.02
Cs 0.5000 0.5000 0.5000  8 Na 4.05, 4 Ag 4.27
Na 0.0000 0.5000 0.0000  2 Sn 3.02
Na 0.5000 0.0000 0.0000  2 Sn 3.02

Formation energy (meV/atom): -68
Energy above the lowest structure with this stoichiometry (eV/atom): 0.0000
Calculated density (g/cm³): 3.42
Crystal system: tetragonal

=====

DFT (PBE) results for CsNaAg2Sn after structural relaxation.

abc: 5.4381 5.4381 5.9212
angles: 90.00 90.00 90.00
Closest atoms and distances in Å follow each position.
Atoms (fractional coordinates):
Ag 0.0000 0.5000 0.0000  2 Sn 2.72
Ag 0.5000 0.0000 0.0000  2 Sn 2.72
Cs 0.5000 0.5000 0.5000  4 Na 3.85, 8 Ag 4.02
Na 0.0000 0.0000 0.5000  2 Sn 2.96
Sn 0.0000 0.0000 0.0000  4 Ag 2.72, 2 Na 2.96

Formation energy (meV/atom): -16
Calculated density (g/cm³): 4.65
Crystal system: tetragonal

=====

DFT (PBE) results for CsNa2AgSn after structural relaxation.

abc: 5.9287 5.9287 5.2926
angles: 90.00 90.00 90.00
Closest atoms and distances in Å follow each position.
Atoms (fractional coordinates):
Ag 0.0000 0.0000 0.0000  2 Sn 2.65
Na 0.0000 0.5000 0.0000  2 Ag 2.96
Na 0.5000 0.0000 0.0000  2 Ag 2.96
Cs 0.5000 0.5000 0.5000  8 Na 3.97, 4 Sn 4.19
Sn 0.0000 0.0000 0.5000  2 Ag 2.65

Formation energy (meV/atom): -32
Energy above the lowest structure with this stoichiometry (eV/atom): 0.0358
Calculated density (g/cm³): 3.62
Crystal system: tetragonal

=====

DFT (PBE) results for CsNaSr2Ag after structural relaxation.

abc: 6.3013 6.3013 7.0390
angles: 90.00 90.00 90.00
Closest atoms and distances in Å follow each position.
Atoms (fractional coordinates):
Sr 0.0000 0.5000 0.0000  2 Ag 3.15
Sr 0.5000 0.0000 0.0000  2 Ag 3.15
Ag 0.0000 0.0000 0.0000  4 Sr 3.15, 2 Cs 3.52
Cs 0.0000 0.0000 0.5000  2 Ag 3.52
Na 0.5000 0.5000 0.5000  4 Cs 4.46, 8 Sr 4.72

Formation energy (meV/atom): 55
Energy above the lowest structure with this stoichiometry (eV/atom): 0.0313
Calculated density (g/cm³): 2.61
Crystal system: tetragonal

=====

DFT (PBE) results for CsNaSr2Ag after structural relaxation.

abc: 6.3295 6.3295 6.4245
angles: 90.00 90.00 90.00
Closest atoms and distances in Å follow each position.
Atoms (fractional coordinates):
Sr 0.0000 0.5000 0.0000  2 Ag 3.16
Sr 0.5000 0.0000 0.0000  2 Ag 3.16
Ag 0.0000 0.0000 0.0000  4 Sr 3.16, 2 Na 3.21
Na 0.0000 0.0000 0.5000  2 Ag 3.21
Cs 0.5000 0.5000 0.5000  4 Na 4.48, 8 Sr 4.51

Formation energy (meV/atom): 23
Energy above the lowest structure with this stoichiometry (eV/atom): 0.0000
Calculated density (g/cm³): 2.83
Crystal system: tetragonal

=====

DFT (PBE) results for CsNa2TaAg after structural relaxation.

abc: 5.8428 5.3472 5.8428
angles: 90.00 90.00 90.00
Closest atoms and distances in Å follow each position.
Atoms (fractional coordinates):
Ag 0.0000 0.0000 0.0000  2 Ta 2.67, 4 Na 2.92
Na 0.0000 0.0000 0.5000  2 Ag 2.92
Na 0.5000 0.0000 0.0000  2 Ag 2.92
Cs 0.5000 0.5000 0.5000  8 Na 3.96, 4 Ta 4.13
Ta 0.0000 0.5000 0.0000  2 Ag 2.67

Formation energy (meV/atom): 931
Calculated density (g/cm³): 4.25
Crystal system: tetragonal

=====

DFT (PBE) results for Cs2NaAgTe2 after structural relaxation.

abc: 7.3733 7.3996 10.0039
angles: 111.71 111.62 90.00
Closest atoms and distances in Å follow each position.
Atoms (fractional coordinates):
Te 0.3619 0.5946 0.1893  2 Ag 3.00, 2 Na 3.15
Te 0.6381 0.4054 0.8107  2 Ag 3.00, 2 Na 3.15
Te 0.1727 0.9054 0.8107  2 Ag 3.00, 2 Na 3.15
Te 0.8273 0.0946 0.1893  2 Ag 3.00, 2 Na 3.15
Na 0.0000 0.7500 0.0000  4 Te 3.15
Na 0.0000 0.2500 0.0000  4 Te 3.15
Cs 0.5804 0.8326 0.6651  5 Te 3.75-4.06, 2 Ag 3.86, 2 Na 3.88
Cs 0.0847 0.3326 0.6651  5 Te 3.75-4.06, 2 Ag 3.86, 2 Na 3.88
Cs 0.9153 0.6674 0.3349  5 Te 3.75-4.06, 2 Ag 3.86, 2 Na 3.88
Cs 0.4196 0.1674 0.3349  5 Te 3.75-4.06, 2 Ag 3.86, 2 Na 3.88
Ag 0.5000 0.2500 0.0000  4 Te 3.00
Ag 0.5000 0.7500 0.0000  4 Te 3.00

Formation energy from raw total energies (eV/atom): -0.818
Calculated density (g/cm³): 4.65
Crystal system: orthorhombic

=====

DFT (PBE) results for CsNaTl2Ag after structural relaxation.

abc: 5.6945 5.6945 5.9014
angles: 90.00 90.00 90.00
Closest atoms and distances in Å follow each position.
Atoms (fractional coordinates):
Tl 0.5000 0.0000 0.0000  2 Ag 2.85
Tl 0.0000 0.5000 0.0000  2 Ag 2.85
Na 0.0000 0.0000 0.5000  2 Ag 2.95
Ag 0.0000 0.0000 0.0000  4 Tl 2.85, 2 Na 2.95
Cs 0.5000 0.5000 0.5000  4 Na 4.03, 8 Tl 4.10

Formation energy (meV/atom): 38
Calculated density (g/cm³): 5.84
Crystal system: tetragonal

=====

DFT (PBE) results for CsNaZn2Ag after structural relaxation.

abc: 5.2356 5.2356 5.7415
angles: 90.00 90.00 90.00
Closest atoms and distances in Å follow each position.
Atoms (fractional coordinates):
Zn 0.5000 0.0000 0.0000  2 Ag 2.62
Zn 0.0000 0.5000 0.0000  2 Ag 2.62
Cs 0.5000 0.5000 0.5000  4 Na 3.70, 8 Zn 3.89
Ag 0.0000 0.0000 0.0000  4 Zn 2.62, 2 Na 2.87
Na 0.0000 0.0000 0.5000  2 Ag 2.87

Formation energy (meV/atom): 105
Calculated density (g/cm³): 4.16
Crystal system: tetragonal

=====

DFT (PBE) results for Cs2NaZnAg after structural relaxation.

abc: 7.1285 7.1285 5.2186
angles: 90.00 90.00 90.00
Closest atoms and distances in Å follow each position.
Atoms (fractional coordinates):
Ag 0.0000 0.0000 0.0000  2 Zn 2.61
Na 0.5000 0.5000 0.5000  8 Cs 4.42
Zn 0.0000 0.0000 0.5000  2 Ag 2.61
Cs 0.5000 0.0000 0.0000  2 Ag 3.56
Cs 0.0000 0.5000 0.0000  2 Ag 3.56

Formation energy (meV/atom): 121
Energy above the lowest structure with this stoichiometry (eV/atom): 0.0000
Calculated density (g/cm³): 2.89
Crystal system: tetragonal